PBE Pr4DyHo, optimized geometry; space group = Cmmm; spin magnetization = 0.0 Bohr magnetons per cell; calculated total energy = -28.2 eV per cell; formation energy from the elements = 23 meV/atom; E above lowest polymorph = 0 meV/atom; crystal system = orthorhombic
1.0
-0.716 -3.092 7.517
3.652 -4.910 5.397
2.614 4.049 1.914
Pr Dy Ho
4 1 1
Direct
0.836 0.836 0.500
0.164 0.164 0.500
0.665 0.665 0.000
0.335 0.335 0.000
0.500 0.500 0.500
0.000 0.000 0.000

PBE Pr5Dy6Ho, optimized geometry; space group = Immm; spin magnetization = 0.0 Bohr magnetons per cell; calculated total energy = -55.9 eV per cell; formation energy from the elements = 19 meV/atom; crystal system = orthorhombic
1.0
-2.427 2.084 4.009
-8.806 -0.628 -5.004
4.447 -7.732 3.433
Dy Pr Ho
6 5 1
Direct
0.166 0.917 0.332
0.834 0.083 0.668
0.834 0.585 0.668
0.500 0.248 0.000
0.166 0.415 0.332
0.500 0.752 0.000
0.665 0.165 0.330
0.667 0.667 0.334
0.333 0.333 0.666
0.000 0.500 0.000
0.335 0.835 0.670
0.000 0.000 0.000

PBE Pr2Dy7Ho2, optimized geometry; space group = C2/m; spin magnetization = 0.0 Bohr magnetons per cell; calculated total energy = -49.2 eV per cell; formation energy from the elements = 155 meV/atom; E above lowest polymorph = 4 meV/atom; crystal system = monoclinic
1.0
-5.572 -1.386 1.933
-0.506 -3.996 7.632
-4.277 6.263 4.118
Ho Dy Pr
2 7 2
Direct
0.500 0.219 0.781
0.500 0.781 0.219
0.373 0.413 0.413
0.175 0.591 0.061
0.627 0.587 0.587
0.000 0.000 0.000
0.825 0.939 0.409
0.175 0.061 0.591
0.825 0.409 0.939
0.131 0.231 0.231
0.869 0.769 0.769